No. 1
# YBeOs2

Crystalline YBeOs2 at its relaxed geometry (PBE, Alexandria).

Computed properties:
magnetic moment	0.00	μB per atom
E	-31.99	eV/cell
formation enthalpy at 0 K	0.660	eV per formula unit
space group	C2/m, No. 12

Structure (extended XYZ):
```
4
Lattice="4.537 -1.494 0.000 4.537 1.494 0.000 -1.714 0.000 4.682" Properties=species:S:1:pos:R:3 pbc="T T T"
Y 0.000 0.000 0.000
Be 3.680 0.000 2.341
Os 0.785 0.000 3.216
Os 6.574 0.000 1.466
```

=====

No. 2
# Zr2IrF

Crystalline Zr2IrF at its relaxed geometry (PBE, Alexandria).

Computed properties:
magnetic moment	0.00	μB per atom
energy above the lowest structure with this stoichiometry	0.00	eV/f.u.
E	-31.90	eV/cell
space group	Fm-3m, No. 225

Structure (extended XYZ):
```
4
Lattice="0.000 3.258 3.258 3.258 0.000 3.258 3.258 3.258 0.000" Properties=species:S:1:pos:R:3 pbc="T T T"
Zr 1.629 1.629 1.629
Zr 4.887 4.887 4.887
Ir 0.000 0.000 0.000
F 3.258 3.258 3.258
```

=====

No. 3
# Re3IrN

Crystalline Re3IrN at its relaxed geometry (PBE, Alexandria).

Computed properties:
magnetic moment	0.25	μB per atom
energy above the lowest structure with this stoichiometry	15.98	eV/f.u.
E	-37.57	eV/cell
space group	Pm-3m, No. 221

Structure (extended XYZ):
```
5
Lattice="4.748 0.000 0.000 0.000 4.748 0.000 0.000 0.000 4.748" Properties=species:S:1:pos:R:3 pbc="T T T"
Re 0.000 0.000 2.374
Re 0.000 2.374 0.000
Re 2.374 0.000 0.000
Ir 0.000 0.000 0.000
N 2.374 2.374 2.374
```

=====

No. 4
# In2CoSb

Crystalline In2CoSb at its relaxed geometry (PBE, Alexandria).

Computed properties:
magnetic moment	0.34	μB per atom
E	-15.12	eV/cell
space group	P2/m, No. 10

Structure (extended XYZ):
```
4
Lattice="4.546 0.000 0.000 0.000 3.599 0.000 -2.049 0.000 5.411" Properties=species:S:1:pos:R:3 pbc="T T T"
In 0.000 0.000 0.000
In 2.273 1.799 0.000
Co -1.025 1.799 2.705
Sb 1.248 0.000 2.705
```

=====

No. 5
# TlSiAu

Crystalline TlSiAu at its relaxed geometry (PBE, Alexandria).

Computed properties:
magnetic moment	0.00	μB per atom
E	-21.94	eV/cell
space group	C2/m, No. 12

Structure (extended XYZ):
```
6
Lattice="3.932 -2.040 0.000 3.932 2.040 0.000 -1.217 0.000 9.225" Properties=species:S:1:pos:R:3 pbc="T T T"
Tl 0.517 0.000 3.296
Tl 6.129 0.000 5.930
Si 3.299 0.000 1.083
Si 3.347 0.000 8.143
Au 0.815 0.000 7.948
Au 5.831 0.000 1.278
```

=====

No. 6
# Na3SnAu2

Crystalline Na3SnAu2 at its relaxed geometry (PBE, Alexandria).

Computed properties:
magnetic moment	0.00	μB per atom
E	-64.79	eV/cell
formation enthalpy at 0 K	-1.683	eV per formula unit
space group	P2_1/c, No. 14

Structure (extended XYZ):
```
24
Lattice="8.172 0.000 0.000 0.000 8.596 0.000 -2.463 0.000 8.825" Properties=species:S:1:pos:R:3 pbc="T T T"
Na 0.257 0.757 4.128
Na -0.974 3.541 8.541
Na 1.210 0.634 1.012
Na -0.021 3.664 5.424
Na 1.401 6.361 2.865
Na 0.170 6.533 7.278
Na 5.540 2.063 1.547
Na 4.308 2.235 5.960
Na 5.731 4.932 3.401
Na 4.499 7.962 7.813
Na 6.683 5.055 0.284
Na 5.452 7.839 4.697
Sn 1.475 0.939 7.605
Sn 2.706 3.359 3.193
Sn 3.003 5.237 5.632
Sn 4.234 7.657 1.220
Au -1.223 0.902 6.820
Au 0.009 3.396 2.407
Au 3.692 4.970 1.187
Au 2.460 7.924 5.600
Au 3.249 0.672 3.225
Au 2.018 3.626 7.638
Au 5.701 5.200 6.418
Au 6.932 7.694 2.005
```

=====

No. 7
# Sm6As2PbSe3

Crystalline Sm6As2PbSe3 at its relaxed geometry (PBE, Alexandria).

Computed properties:
magnetic moment	0.00	μB per atom
E	-70.14	eV/cell
space group	C2/m, No. 12

Structure (extended XYZ):
```
12
Lattice="9.271 -2.125 0.000 9.271 2.125 0.000 -1.926 0.000 8.312" Properties=species:S:1:pos:R:3 pbc="T T T"
Sm -0.443 0.000 2.172
Sm 4.363 0.000 7.527
Sm 5.302 0.000 3.515
Sm 11.315 0.000 4.798
Sm 12.254 0.000 0.785
Sm 17.060 0.000 6.141
As 2.465 0.000 2.786
As 14.151 0.000 5.527
Pb 9.271 0.000 0.000
Se 1.467 0.000 6.915
Se 8.308 0.000 4.156
Se 15.150 0.000 1.397
```

=====

No. 8
# KCaPrBr6

Crystalline KCaPrBr6 at its relaxed geometry (PBE, Alexandria).

Computed properties:
magnetic moment	0.00	μB per atom
E	-70.43	eV/cell
space group	P-31c, No. 163

Structure (extended XYZ):
```
18
Lattice="7.610 0.000 0.000 -3.805 6.590 0.000 0.000 0.000 14.291" Properties=species:S:1:pos:R:3 pbc="T T T"
K 0.000 0.000 0.000
K 0.000 0.000 7.146
Ca 0.000 4.393 3.573
Ca 3.805 2.197 10.718
Pr 0.000 4.393 10.718
Pr 3.805 2.197 3.573
Br -1.392 2.428 1.919
Br -2.399 4.171 5.226
Br 1.392 2.428 5.226
Br -1.006 6.582 1.919
Br 2.798 0.008 9.065
Br 1.406 2.419 12.372
Br 2.399 4.171 1.919
Br 1.006 6.582 5.226
Br 4.811 0.008 12.372
Br 2.413 4.163 9.065
Br 6.203 2.419 9.065
Br 5.197 4.163 12.372
```

=====

> Number 2 is which compound?

Zr2IrF

=====

> Which value of E does entry 6 give?

-64.79 eV/cell

=====

> E of number 1 (YBeOs2)?

-31.99 eV/cell